Here is a geometry-optimized AcPm2Y2 structure from Alexandria. Energies are from GGA-PBE.

Structure (POSCAR):
```
AcPm2Y2
1.0
4.4177 -4.9240 0.0000
4.4177 4.9240 0.0000
-3.0995 0.0000 8.4742
Ac Pm Y
2 4 4
Direct
0.2034 0.7966 0.7500
0.7966 0.2034 0.2500
0.0000 0.5000 0.0000
0.5000 0.0000 0.5000
0.5000 0.5000 0.0000
0.5000 0.5000 0.5000
0.0602 0.2433 0.6383
0.2433 0.0602 0.1383
0.7567 0.9398 0.8617
0.9398 0.7567 0.3617
```

Values from the calculation:
For the energy relative to the lowest polymorph listed for this composition, the calculation gives 0.232 eV per atom. The value obtained for the energy of formation from the pure elements is 6.0 kcal/mol of atoms.

---

Here is a geometry-optimized BeCo2B2 structure from Alexandria. Energies are from GGA-PBE.

Structure (POSCAR):
```
BeCo2B2
1.0
5.5510 0.0000 0.0000
0.0000 5.5510 0.0000
0.0000 0.0000 2.5270
Be Co B
2 4 4
Direct
0.0000 0.0000 0.0000
0.5000 0.5000 0.0000
0.1780 0.3220 0.5000
0.3220 0.8220 0.5000
0.6780 0.1780 0.5000
0.8220 0.6780 0.5000
0.1164 0.6164 0.0000
0.3836 0.1164 0.0000
0.6164 0.8836 0.0000
0.8836 0.3836 0.0000
```

Values from the calculation:
The value obtained for the energy of formation from the pure elements is -7.9 kcal/mol of atoms.

---

Here is a geometry-optimized TiNi structure from Alexandria. Energies are from GGA-PBE.

Structure (POSCAR):
```
TiNi
1.0
7.1581 0.0000 0.0000
0.0000 7.1581 0.0000
0.0000 0.0000 7.1581
Ti Ni
8 8
Direct
0.1968 0.1968 0.1968
0.1968 0.8032 0.8032
0.3032 0.3032 0.6968
0.3032 0.6968 0.3032
0.6968 0.3032 0.3032
0.6968 0.6968 0.6968
0.8032 0.1968 0.8032
0.8032 0.8032 0.1968
0.1211 0.1211 0.8789
0.1211 0.8789 0.1211
0.3789 0.3789 0.3789
0.3789 0.6211 0.6211
0.6211 0.3789 0.6211
0.6211 0.6211 0.3789
0.8789 0.1211 0.1211
0.8789 0.8789 0.8789
```

Values from the calculation:
The value obtained for the energy of formation from the pure elements is 17.5 kcal/mol of atoms.